Here is a relaxed structure of Cd2NiPt9 from Alexandria via LeMat-Bulk. Energies are from GGA-PBE.

Output
- total DFT energy (no corrections) (eV for the cell shown) = -63.67
- DOS at the Fermi energy (states/eV/f.u.) = 16.563
- DFT formation energy (kJ per mole of atoms) = -13.60

extended XYZ file:
```
12
Lattice="-2.5523 1.7918 -2.4828 -2.1064 -3.3733 -0.2691 -6.7010 3.4368 9.3689" Properties=species:S:1:pos:R:3 pbc="T T T"
Cd -2.2010 1.1288 3.0772
Cd -4.5001 2.3080 6.2917
Ni 0.0000 0.0000 0.0000
Pt -2.3293 -0.7908 -1.3759
Pt -4.5268 0.3363 1.6965
Pt -6.8328 1.5190 4.9206
Pt -2.3182 1.4303 0.2155
Pt -4.6267 2.6143 3.4431
Pt -6.9351 3.7983 6.6706
Pt -2.0952 -1.1522 1.3223
Pt -4.4037 0.0318 4.5499
Pt -6.7122 1.2157 7.7775
```